Zr3NiS | meta-GGA SCAN | PBEsol geometry

Cell and atoms, written as CIF:
```
data_Zr3NiS
_chemical_formula_sum 'Zr3 Ni1 S1'
_space_group_name_H-M_alt 'P m -3 m'
_space_group_IT_number 221
_space_group_name_Hall '-P 4 2 3'
_cell_length_a 4.773
_cell_length_b 4.773
_cell_length_c 4.773
_cell_angle_alpha 90.00
_cell_angle_beta 90.00
_cell_angle_gamma 90.00
loop_
_atom_site_label
_atom_site_type_symbol
_atom_site_fract_x
_atom_site_fract_y
_atom_site_fract_z
Zr1 Zr 0.000 0.000 0.500
Ni1 Ni 0.000 0.000 0.000
S1 S 0.500 0.500 0.500
```

The uncorrected formation energy is 134 meV per atom. As for the energy: -23.445 eV per atom.